The following is a DFT calculation (PBE+U) of an optimized crystal structure of MnNi3O4.

As for the raw total energy: -5.5561 eV/atom.

```
data_MnNi3O4
_cell_length_a 3.042
_cell_length_b 4.299
_cell_length_c 6.072
_cell_angle_alpha 90.00
_cell_angle_beta 90.00
_cell_angle_gamma 90.00
_space_group_name_H-M_alt 'P m m m'
_space_group_IT_number 47
loop_
_space_group_symop_operation_xyz
'x,y,z'
'-x,-y,-z'
'-x,-y,z'
'x,y,-z'
'x,-y,-z'
'-x,y,z'
'-x,y,-z'
'x,-y,z'
loop_
_atom_site_label
_atom_site_fract_x
_atom_site_fract_y
_atom_site_fract_z
_atom_site_occupancy
Mn1 0.000 0.000 0.000 1
Ni1 0.000 0.000 0.500 1
Ni2 0.500 0.500 0.255 1
O1 0.000 0.500 0.000 1
O2 0.000 0.500 0.500 1
O3 0.500 0.000 0.264 1
```